A plane-wave DFT calculation with PBE-GGA was carried out for crystalline UCd at its relaxed geometry.

Unit cell a=2.9796 b=2.9796 c=5.5791 alpha=90.00 beta=90.00 gamma=120.00
Space group P-6m2 (No. 187)
Inequivalent atoms, fractional coordinates:
U1 0.0000 0.0000 0.0000 x1
Cd1 0.3333 0.6667 0.5000 x1

Computed properties:
ΔH_f (0 K) ... 0.199 eV per atom
M_tot ... 1.99 μB/f.u.
V ... 42.9 Å³/cell

=====

A plane-wave DFT calculation with PBE-GGA was carried out for crystalline UCd at its relaxed geometry.

Unit cell a=6.887 b=6.887 c=6.887 alpha=90.00 beta=90.00 gamma=90.00
Space group F-43m (No. 216)
Inequivalent atoms, fractional coordinates:
U1 0.000 0.000 0.000 x4
Cd1 0.250 0.250 0.250 x4

Computed properties:
ΔH_f (0 K) ... 1.893 eV per atom
M_tot ... 3.72 μB/f.u.
V ... 326.7 Å³/cell

=====

A plane-wave DFT calculation with PBE-GGA was carried out for crystalline YUCd at its relaxed geometry.

Unit cell a=7.057 b=7.057 c=7.057 alpha=90.00 beta=90.00 gamma=90.00
Space group F-43m (No. 216)
Inequivalent atoms, fractional coordinates:
Y1 0.000 0.000 0.000 x4
U1 0.250 0.250 0.250 x4
Cd1 0.250 0.250 0.750 x4

Computed properties:
ΔH_f (0 K) ... 1.067 eV per atom
M_tot ... 3.33 μB/f.u.
V ... 351.4 Å³/cell

=====

A plane-wave DFT calculation with PBE-GGA was carried out for crystalline CdW at its relaxed geometry.

Unit cell a=5.443 b=5.443 c=5.443 alpha=90.00 beta=90.00 gamma=90.00
Space group Fm-3m (No. 225)
Inequivalent atoms, fractional coordinates:
Cd1 0.000 0.000 0.000 x4
W1 0.000 0.000 0.500 x4

Computed properties:
ΔH_f (0 K) ... 1.933 eV per atom
M_tot ... 0.00 μB/f.u.
V ... 161.3 Å³/cell

=====

A plane-wave DFT calculation with PBE-GGA was carried out for crystalline CdW at its relaxed geometry.

Unit cell a=6.005 b=6.005 c=6.005 alpha=90.00 beta=90.00 gamma=90.00
Space group F-43m (No. 216)
Inequivalent atoms, fractional coordinates:
Cd1 0.000 0.000 0.000 x4
W1 0.250 0.250 0.750 x4

Computed properties:
ΔH_f (0 K) ... 3.025 eV per atom
M_tot ... 0.01 μB/f.u.
V ... 216.5 Å³/cell

=====

A plane-wave DFT calculation with PBE-GGA was carried out for crystalline CdW at its relaxed geometry.

Unit cell a=2.8833 b=2.8833 c=4.9773 alpha=90.00 beta=90.00 gamma=120.00
Space group P-6m2 (No. 187)
Inequivalent atoms, fractional coordinates:
Cd1 0.0000 0.0000 0.0000 x1
W1 0.6667 0.3333 0.5000 x1

Computed properties:
ΔH_f (0 K) ... 0.672 eV per atom
M_tot ... 0.00 μB/f.u.
V ... 35.8 Å³/cell

=====

A plane-wave DFT calculation with PBE-GGA was carried out for crystalline YCdW2 at its relaxed geometry.

Unit cell a=6.760 b=6.760 c=6.760 alpha=90.00 beta=90.00 gamma=90.00
Space group F-43m (No. 216)
Inequivalent atoms, fractional coordinates:
Y1 0.000 0.000 0.000 x4
Cd1 0.250 0.250 0.250 x4
W1 0.000 0.000 0.500 x4
W2 0.250 0.250 0.750 x4

Computed properties:
ΔH_f (0 K) ... 0.520 eV per atom
M_tot ... 0.07 μB/f.u.
V ... 309.0 Å³/cell

=====

A plane-wave DFT calculation with PBE-GGA was carried out for crystalline Y2CdW2 at its relaxed geometry.

Unit cell a=4.8428 b=4.8428 c=10.9521 alpha=90.00 beta=90.00 gamma=120.00
Space group P6_3/mmc (No. 194)
Inequivalent atoms, fractional coordinates:
Y1 0.3333 0.6667 0.0932 x4
Cd1 0.0000 0.0000 0.2500 x2
W1 0.0000 0.0000 0.0000 x2
W2 0.3333 0.6667 0.7500 x2

Computed properties:
ΔH_f (0 K) ... 0.931 eV per atom
M_tot ... 0.32 μB/f.u.
V ... 222.4 Å³/cell

=====

A plane-wave DFT calculation with PBE-GGA was carried out for crystalline ZnCd2W at its relaxed geometry.

Unit cell a=6.611 b=6.611 c=6.611 alpha=90.00 beta=90.00 gamma=90.00
Space group F-43m (No. 216)
Inequivalent atoms, fractional coordinates:
Zn1 0.000 0.000 0.000 x4
Cd1 0.000 0.000 0.500 x4
Cd2 0.250 0.250 0.750 x4
W1 0.250 0.250 0.250 x4

Computed properties:
ΔH_f (0 K) ... 0.734 eV per atom
M_tot ... 1.99 μB/f.u.
V ... 289.0 Å³/cell

=====

A plane-wave DFT calculation with PBE-GGA was carried out for crystalline Zn2CdW at its relaxed geometry.

Unit cell a=6.432 b=6.432 c=6.432 alpha=90.00 beta=90.00 gamma=90.00
Space group F-43m (No. 216)
Inequivalent atoms, fractional coordinates:
Zn1 0.000 0.000 0.000 x4
Zn2 0.250 0.250 0.250 x4
Cd1 0.250 0.250 0.750 x4
W1 0.000 0.000 0.500 x4

Computed properties:
ΔH_f (0 K) ... 0.718 eV per atom
M_tot ... 1.90 μB/f.u.
V ... 266.1 Å³/cell

=====

A plane-wave DFT calculation with PBE-GGA was carried out for crystalline ZrCdW2 at its relaxed geometry.

Unit cell a=6.635 b=6.635 c=6.635 alpha=90.00 beta=90.00 gamma=90.00
Space group F-43m (No. 216)
Inequivalent atoms, fractional coordinates:
Zr1 0.000 0.000 0.000 x4
Cd1 0.250 0.250 0.250 x4
W1 0.000 0.000 0.500 x4
W2 0.250 0.250 0.750 x4

Computed properties:
ΔH_f (0 K) ... 0.354 eV per atom
M_tot ... 0.00 μB/f.u.
V ... 292.1 Å³/cell

=====

A plane-wave DFT calculation with PBE-GGA was carried out for crystalline YCd3 at its relaxed geometry.

Unit cell a=5.127 b=6.768 c=5.163 alpha=90.00 beta=90.00 gamma=90.00
Space group Pmmn (No. 59, origin choice 2)
Inequivalent atoms, fractional coordinates:
Y1 0.250 0.250 0.249 x2
Cd1 0.250 0.001 0.750 x4
Cd2 0.250 0.750 0.250 x2

Computed properties:
ΔH_f (0 K) ... -0.277 eV per atom
M_tot ... 0.01 μB/f.u.
V ... 179.2 Å³/cell